Compound: MnFePt
Source: Alexandria via LeMat-Bulk
Functional: meta-GGA SCAN
Structure: single point on PBEsol structure

Summary:
Calculated density   11317 kg/m³
Formation energy   -0.18 eV/f.u.
Space group   No. 216
Fermi-level density of states   2.483 states/eV/f.u.

Cell lengths 3.9889, 3.9889, 3.9889 Å; angles 60.00, 60.00, 60.00 degrees
Last column: nearest neighbours and their distance in Å.
Atoms (fractional coordinates):
Fe1 0.2500 0.2500 0.2500  4 Mn 2.44, 4 Pt 2.44
Mn1 0.0000 0.0000 0.0000  4 Fe 2.44
Pt1 0.5000 0.5000 0.5000  4 Fe 2.44